(1)
A plane-wave DFT calculation with GGA-PBEsol was carried out for a relaxed Cd5C crystal.

```
6
Lattice="4.182 0.000 0.000 0.000 2.161 7.244 0.000 -2.161 7.244" Properties=species:S:1:pos:R:3 pbc="T T T"
Cd 0.000 0.000 0.000
Cd 0.000 0.000 3.983
Cd 0.000 0.000 9.333
Cd 2.091 0.000 7.094
Cd 2.091 0.000 11.478
C 2.091 0.000 13.711
```

size of the total moment: 0.0 μB per cell
ΔH_f (0 K): 621.1 meV/atom

(2)
A plane-wave DFT calculation with GGA-PBEsol was carried out for a relaxed CdC3 crystal.

```
8
Lattice="4.745 0.000 0.000 -2.372 4.109 0.000 0.000 0.000 6.291" Properties=species:S:1:pos:R:3 pbc="T T T"
Cd 0.000 2.739 1.573
Cd 2.372 1.370 4.718
C 0.000 0.838 4.718
C -1.647 3.690 4.718
C 0.725 0.419 1.573
C 1.647 3.690 4.718
C 4.019 0.419 1.573
C 2.372 3.272 1.573
```

size of the total moment: 0.0 μB per cell
ΔH_f (0 K): 2126.4 meV/atom

(3)
A plane-wave DFT calculation with GGA-PBEsol was carried out for a relaxed CdC2 crystal.

```
6
Lattice="-2.535 2.535 3.027 2.535 -2.535 3.027 2.535 2.535 -3.027" Properties=species:S:1:pos:R:3 pbc="T T T"
Cd 0.000 0.000 1.513
Cd 0.000 0.000 4.540
C 2.986 0.451 0.000
C 0.451 2.084 0.000
C 2.084 0.451 3.027
C -0.451 2.084 3.027
```

size of the total moment: 0.6 μB per cell
ΔH_f (0 K): 1763.6 meV/atom
relative energy among the computed polymorphs: 2.70 eV per formula unit

(4)
A plane-wave DFT calculation with GGA-PBEsol was carried out for a relaxed CdC5 crystal.

```
6
Lattice="0.000 3.110 3.110 3.110 0.000 3.110 3.110 3.110 0.000" Properties=species:S:1:pos:R:3 pbc="T T T"
Cd 0.000 0.000 0.000
C 3.662 2.558 2.558
C 1.555 1.555 1.555
C 2.558 3.662 2.558
C 2.558 2.558 3.662
C 3.662 3.662 3.662
```

size of the total moment: 0.0 μB per cell
ΔH_f (0 K): 3077.8 meV/atom

(5)
A plane-wave DFT calculation with GGA-PBEsol was carried out for a relaxed Cd3C crystal.

```
4
Lattice="4.438 2.562 1.047 -4.438 2.562 1.047 0.000 -5.125 1.047" Properties=species:S:1:pos:R:3 pbc="T T T"
Cd -2.219 -1.281 1.047
Cd -2.219 1.281 2.094
Cd 0.000 2.562 1.047
C 0.000 0.000 0.000
```

size of the total moment: 0.0 μB per cell
ΔH_f (0 K): 1316.0 meV/atom
relative energy among the computed polymorphs: 1.47 eV per formula unit

(6)
A plane-wave DFT calculation with GGA-PBEsol was carried out for a relaxed CdH8C2NCl3 crystal.

```
60
Lattice="9.037 0.000 0.000 0.000 12.902 0.000 -1.394 0.000 6.527" Properties=species:S:1:pos:R:3 pbc="T T T"
Cd 1.137 3.173 3.214
Cd 0.440 3.279 6.477
Cd 7.203 9.624 0.050
Cd 6.506 9.730 3.313
H -0.154 7.050 5.944
H 0.543 12.303 2.680
H 0.564 7.244 3.627
H 1.261 12.109 0.363
H 0.371 8.708 5.492
H 1.068 10.646 2.228
H 2.181 0.326 1.250
H 1.483 6.125 4.514
H 1.484 7.632 6.427
H 2.181 11.722 3.164
H 2.305 8.915 3.881
H 3.002 10.438 0.618
H 2.834 7.435 3.004
H 2.136 11.918 6.267
H 3.285 7.680 4.732
H 3.983 11.674 1.469
H 3.660 1.229 5.058
H 4.357 5.223 1.795
H 5.506 0.984 0.260
H 4.809 5.467 3.523
H 4.640 2.464 5.909
H 5.338 3.987 2.646
H 5.461 1.181 3.363
H 6.158 5.271 0.100
H 6.159 6.778 2.013
H 5.462 12.576 5.277
H 6.575 2.256 4.299
H 7.272 4.195 1.035
H 6.382 0.793 6.164
H 7.079 5.658 2.900
H 7.100 0.599 3.847
H 7.797 5.852 0.583
C 0.704 7.670 5.652
C 1.401 11.683 2.389
C 2.506 7.839 3.972
C 3.203 11.514 0.709
C 4.439 1.388 5.818
C 5.137 5.063 2.555
C 6.241 1.219 4.138
C 6.938 5.232 0.875
N 1.270 7.147 4.390
N 1.967 12.207 1.127
N 5.676 0.695 5.400
N 6.373 5.756 2.137
Cl -0.193 2.065 1.158
Cl -0.890 4.387 4.422
Cl 0.773 1.258 4.893
Cl 1.470 5.193 1.629
Cl 3.189 2.102 1.959
Cl 2.492 4.349 5.222
Cl 5.151 8.554 1.305
Cl 4.454 10.800 4.568
Cl 6.173 7.709 4.898
Cl 6.870 11.644 1.634
Cl 8.533 8.516 2.105
Cl 7.836 10.838 5.369
```

size of the total moment: 0.0 μB per cell
total energy: -275.7 eV for the cell shown